Record 1
A relaxed PaTcP2 crystal, computed with PBE.

abc: 3.0774 3.0774 6.7924
angles: 90.00 90.00 90.00
Space group P4/mmm (No. 123)
Unique sites:
Pa (0.0000, 0.0000, 0.0000) [1 per cell]
Tc (0.0000, 0.0000, 0.5000) [1 per cell]
P (0.5000, 0.5000, 0.2939) [2 per cell]

Results
VASP energy, eV/atom: -8.099
Energy above the lowest structure with this stoichiometry, meV per atom: 260.6

Record 2
A relaxed Li4PuPa3Se8 crystal, computed with PBE.

abc: 8.0624 8.0624 19.9549
angles: 90.00 90.00 120.00
Space group R-3m (No. 166, hexagonal axes)
Unique sites:
Li (0.0000, 0.0000, 0.0000) [3 per cell]
Li (0.0000, 0.5000, 0.0000) [9 per cell]
Pu (0.0000, 0.0000, 0.5000) [3 per cell]
Pa (0.0000, 0.5000, 0.5000) [9 per cell]
Se (0.0000, 0.0000, 0.2550) [6 per cell]
Se (0.0046, 0.5023, 0.7462) [18 per cell]

Results
VASP energy, eV/atom: -6.214

Record 3
A relaxed LaSm4Dy15 crystal, computed with PBE.

abc: 5.0559 5.0559 25.2010
angles: 90.00 90.00 90.00
Space group P4/mmm (No. 123)
Unique sites:
La (0.0000, 0.0000, 0.0000) [1 per cell]
Sm (0.0000, 0.0000, 0.2005) [2 per cell]
Sm (0.0000, 0.0000, 0.4003) [2 per cell]
Dy (0.0000, 0.5000, 0.1016) [4 per cell]
Dy (0.0000, 0.5000, 0.3006) [4 per cell]
Dy (0.0000, 0.5000, 0.5000) [2 per cell]
Dy (0.5000, 0.5000, 0.0000) [1 per cell]
Dy (0.5000, 0.5000, 0.2013) [2 per cell]
Dy (0.5000, 0.5000, 0.4002) [2 per cell]

Results
VASP energy, eV/atom: -4.622